[1]
The following is a DFT calculation (PBE) of La2Zr2Ga after structural relaxation.

Cell: 8.0925 8.0925 4.3267 Å, 90.00 90.00 90.00°
With the nearest neighbours (Å) after each atom.
Space group P4/mbm (No. 127)
Symmetry-distinct sites (fractional):
La 0.1544 0.3456 0.0000  2 Ga 3.06, 6 Zr 3.14-3.26
Zr 0.1465 0.6465 0.5000  6 La 3.14-3.26, 1 Zr 3.35
Ga 0.0000 0.0000 0.0000  4 La 3.06

The value obtained for the magnetization is 0.00 μB per atom. The value obtained for the formation energy is 0.363 eV/atom. The total DFT energy (no corrections) is -5.6327 eV per atom. For the volume, the calculation gives 28.335 A^3/atom. For the excess energy over the best structure of this formula in the dataset, the calculation gives 0 meV/atom.

---

[2]
The following is a DFT calculation (PBE) of La2Zr2Ga after structural relaxation.

Cell: 4.1544 4.1544 15.9131 Å, 90.00 90.00 90.00°
With the nearest neighbours (Å) after each atom.
Space group I4/mmm (No. 139)
Symmetry-distinct sites (fractional):
La 0.0000 0.5000 0.2500  4 La 2.94
Zr 0.0000 0.0000 0.0756  1 Zr 2.40
Ga 0.0000 0.0000 0.5000  8 Zr 3.17

The value obtained for the magnetization is 0.00 μB per atom. The value obtained for the formation energy is 0.560 eV/atom. The total DFT energy (no corrections) is -5.4356 eV per atom. For the volume, the calculation gives 27.465 A^3/atom. For the excess energy over the best structure of this formula in the dataset, the calculation gives 197 meV/atom.

---

[3]
The following is a DFT calculation (PBE) of LaZrGa after structural relaxation.

Cell: 5.1858 5.1858 19.7091 Å, 90.00 90.00 120.00°
With the nearest neighbours (Å) after each atom.
Space group R-3m (No. 166, hexagonal axes)
Symmetry-distinct sites (fractional):
La 0.0000 0.0000 0.1108  3 Ga 3.00, 3 Zr 3.34
Zr 0.0000 0.0000 0.2982  1 Ga 2.69
Ga 0.0000 0.0000 0.4345  1 Ga 2.58, 1 Zr 2.69

The value obtained for the magnetization is 0.00 μB per atom. The value obtained for the formation energy is -0.168 eV/atom. The total DFT energy (no corrections) is -5.6686 eV per atom. For the volume, the calculation gives 25.501 A^3/atom. For the excess energy over the best structure of this formula in the dataset, the calculation gives 224 meV/atom.

---

[4]
The following is a DFT calculation (PBE) of LaZrGa4 after structural relaxation.

Cell: 7.8078 7.8078 7.8078 Å, 90.00 90.00 90.00°
With the nearest neighbours (Å) after each atom.
Space group F-43m (No. 216)
Symmetry-distinct sites (fractional):
La 0.0000 0.0000 0.0000  12 Ga 3.24, 4 Zr 3.38
Zr 0.2500 0.2500 0.7500  12 Ga 3.24, 4 La 3.38
Ga 0.1246 0.1246 0.3754  6 Ga 2.75-2.77

The value obtained for the magnetization is 0.00 μB per atom. The value obtained for the formation energy is -0.449 eV/atom. The total DFT energy (no corrections) is -4.7129 eV per atom. For the volume, the calculation gives 19.832 A^3/atom.

---

[5]
The following is a DFT calculation (PBE) of LaZrGa after structural relaxation.

Cell: 4.3886 4.3886 8.1652 Å, 90.00 90.00 90.00°
With the nearest neighbours (Å) after each atom.
Space group P4/nmm (No. 129, origin choice 2)
Symmetry-distinct sites (fractional):
La 0.2500 0.2500 0.1525  5 Ga 3.23-3.39, 4 Zr 3.59
Zr 0.2500 0.7500 0.5000  4 Ga 2.93, 4 Zr 3.10
Ga 0.2500 0.2500 0.7369  4 Zr 2.93, 4 La 3.23

The value obtained for the magnetization is 0.00 μB per atom. The value obtained for the formation energy is -0.391 eV/atom. The total DFT energy (no corrections) is -5.8922 eV per atom. For the volume, the calculation gives 26.210 A^3/atom. For the excess energy over the best structure of this formula in the dataset, the calculation gives 0 meV/atom.

---

[6]
The following is a DFT calculation (PBE) of Li8Ga3 after structural relaxation.

Cell: 8.0661 8.0661 11.5967 Å, 90.00 90.00 120.00°
With the nearest neighbours (Å) after each atom.
Space group R-3 (No. 148, hexagonal axes)
Symmetry-distinct sites (fractional):
Li 0.0000 0.0000 0.1024  1 Li 2.37, 3 Ga 2.44
Li 0.0642 0.8199 0.6123  2 Ga 2.68-2.70
Ga 0.0000 0.5000 0.5000  6 Li 2.44-2.70

The value obtained for the magnetization is 0.00 μB per atom. The value obtained for the formation energy is 0.023 eV/atom. The total DFT energy (no corrections) is -2.1942 eV per atom. For the volume, the calculation gives 19.800 A^3/atom.

---

[7]
The following is a DFT calculation (PBE) of LiGa5 after structural relaxation.

Cell: 3.1445 13.0743 10.9257 Å, 90.00 90.00 90.00°
With the nearest neighbours (Å) after each atom.
Space group Cmcm (No. 63)
Symmetry-distinct sites (fractional):
Li 0.0000 0.1835 0.2500  8 Ga 2.89-2.99, 2 Li 3.14
Ga 0.0000 0.1311 0.7500  10 Ga 2.85-3.14, 2 Li 2.89
Ga 0.0000 0.3283 0.0376  6 Ga 2.63-2.85
Ga 0.0000 0.4727 0.6297  6 Ga 2.63-2.92, 2 Li 2.89

The value obtained for the magnetization is 0.00 μB per atom. The value obtained for the formation energy is -0.063 eV/atom. The total DFT energy (no corrections) is -2.9047 eV per atom. For the volume, the calculation gives 18.716 A^3/atom. For the excess energy over the best structure of this formula in the dataset, the calculation gives 53 meV/atom.

---

[8]
The following is a DFT calculation (PBE) of Li3Ga2 after structural relaxation.

Cell: 4.3561 4.3561 13.8350 Å, 90.00 90.00 120.00°
With the nearest neighbours (Å) after each atom.
Space group R-3m (No. 166, hexagonal axes)
Symmetry-distinct sites (fractional):
Li 0.0000 0.0000 0.0000  6 Li 2.70, 2 Ga 2.80
Li 0.0000 0.0000 0.4033  4 Ga 2.65-2.78, 4 Li 2.67-2.70
Ga 0.0000 0.0000 0.2024  5 Li 2.65-2.80, 3 Ga 2.70

The value obtained for the magnetization is 0.00 μB per atom. The value obtained for the formation energy is -0.322 eV/atom. The total DFT energy (no corrections) is -2.6807 eV per atom. For the volume, the calculation gives 15.157 A^3/atom. For the excess energy over the best structure of this formula in the dataset, the calculation gives 0 meV/atom.

---

[9]
The following is a DFT calculation (PBE) of Li3Ga14 after structural relaxation.

Cell: 8.4368 8.4368 17.0509 Å, 90.00 90.00 120.00°
With the nearest neighbours (Å) after each atom.
Space group R3m (No. 160, hexagonal axes)
Symmetry-distinct sites (fractional):
Li 0.1979 0.3959 0.0000  9 Ga 2.82-2.96
Ga 0.0000 0.0000 0.0059  4 Ga 2.57-2.58
Ga 0.0000 0.0000 0.1572  4 Ga 2.54-2.58
Ga 0.0157 0.5078 0.8848  6 Ga 2.54-2.74
Ga 0.1068 0.2136 0.4677  6 Ga 2.49-2.70
Ga 0.1732 0.3464 0.6108  6 Ga 2.57-2.74, 2 Li 2.82
Ga 0.2101 0.1051 0.6987  6 Ga 2.49-2.71

The value obtained for the magnetization is 0.00 μB per atom. The value obtained for the formation energy is -0.142 eV/atom. The total DFT energy (no corrections) is -2.9721 eV per atom. For the volume, the calculation gives 20.609 A^3/atom.

---

[10]
The following is a DFT calculation (PBE) of Li6Ga after structural relaxation.

Cell: 8.2844 7.1962 8.8838 Å, 90.00 90.00 90.00°
With the nearest neighbours (Å) after each atom.
Space group Cmcm (No. 63)
Symmetry-distinct sites (fractional):
Li 0.0000 0.1783 0.0842  1 Ga 2.75, 6 Li 2.85-3.04
Li 0.1792 0.5000 0.0000  2 Ga 2.67, 5 Li 2.85-2.97
Li 0.1829 0.1935 0.7500  2 Ga 2.67-2.97, 2 Li 2.86
Ga 0.0000 0.4994 0.7500  10 Li 2.67-2.97

The value obtained for the magnetization is 0.00 μB per atom. The value obtained for the formation energy is -0.086 eV/atom. The total DFT energy (no corrections) is -2.1584 eV per atom. For the volume, the calculation gives 18.915 A^3/atom. For the excess energy over the best structure of this formula in the dataset, the calculation gives 0 meV/atom.

---

[11]
The following is a DFT calculation (PBE) of Li3Ga after structural relaxation.

Cell: 5.2034 5.6570 9.3807 Å, 90.00 90.00 90.00°
With the nearest neighbours (Å) after each atom.
Space group Fmmm (No. 69)
Symmetry-distinct sites (fractional):
Li 0.0000 0.0000 0.0000  4 Ga 2.60-2.83, 4 Li 2.74
Li 0.0000 0.2500 0.2500  6 Li 2.60-2.83, 2 Ga 2.74
Ga 0.0000 0.0000 0.5000  8 Li 2.60-2.83

The value obtained for the magnetization is 0.00 μB per atom. The value obtained for the formation energy is -0.076 eV/atom. The total DFT energy (no corrections) is -2.2679 eV per atom. For the volume, the calculation gives 17.258 A^3/atom. For the excess energy over the best structure of this formula in the dataset, the calculation gives 132 meV/atom.